# 1
The following is a DFT calculation (PBE) of crystalline CeCuPt4 at its relaxed geometry.

Structure (extended XYZ):
```
6
Lattice="5.3963 0.0000 0.0000 -2.6982 4.6734 0.0000 0.0000 0.0000 4.3310" Properties=species:S:1:pos:R:3 pbc="T T T"
Ce 0.0000 0.0000 0.0000
Cu 0.0000 3.1156 0.0000
Pt -1.3308 2.3472 2.1655
Pt 1.3308 2.3472 2.1655
Pt 0.0000 4.6523 2.1655
Pt 2.6982 1.5578 0.0000
```

Fermi-level density of states ... 10.1 states/eV per cell
DFT formation energy ... -651 meV/atom
Energy above the lowest structure with this stoichiometry ... 21 meV/atom


# 2
The following is a DFT calculation (PBE) of crystalline B2C3 at its relaxed geometry.

Structure (extended XYZ):
```
10
Lattice="3.6066 0.0000 0.0000 1.4808 4.2115 0.0000 1.7810 0.1678 4.3192" Properties=species:S:1:pos:R:3 pbc="T T T"
B 0.0000 0.0000 0.0000
B 2.5015 2.8754 3.5751
B 1.5548 0.8515 1.2851
B 2.7858 0.1561 2.8983
C 2.4911 3.6207 1.1835
C 3.4785 1.6449 3.2286
C 2.6397 1.2344 0.1688
C 3.4069 2.4958 0.7131
C 4.3049 2.0206 1.9263
C 5.1355 3.2420 2.3089
```

Fermi-level density of states ... 0.1 states/eV per cell
DFT formation energy ... 389 meV/atom
Energy above the lowest structure with this stoichiometry ... 153 meV/atom


# 3
The following is a DFT calculation (PBE) of crystalline KZnW at its relaxed geometry.

Structure (extended XYZ):
```
12
Lattice="7.6906 0.0000 0.0000 0.0000 7.6906 0.0000 0.0000 0.0000 7.6906" Properties=species:S:1:pos:R:3 pbc="T T T"
K 0.0000 0.0000 0.0000
K 0.0000 3.8453 3.8453
K 3.8453 0.0000 3.8453
K 3.8453 3.8453 0.0000
Zn 1.9226 1.9226 1.9226
Zn 1.9226 5.7679 5.7679
Zn 5.7679 1.9226 5.7679
Zn 5.7679 5.7679 1.9226
W 1.9226 1.9226 5.7679
W 1.9226 5.7679 1.9226
W 5.7679 1.9226 1.9226
W 5.7679 5.7679 5.7679
```

Fermi-level density of states ... 1.5 states/eV per cell
DFT formation energy ... 2401 meV/atom
Energy above the lowest structure with this stoichiometry ... 1467 meV/atom


# 4
The following is a DFT calculation (PBE) of crystalline PaCrS4 at its relaxed geometry.

Structure (extended XYZ):
```
12
Lattice="3.6940 -7.0559 0.0000 3.6940 7.0559 0.0000 -3.4319 0.0000 5.3372" Properties=species:S:1:pos:R:3 pbc="T T T"
Pa 1.1201 4.6896 4.0029
Pa 2.8360 -4.6896 1.3343
Cr 1.1201 0.9371 4.0029
Cr 2.8360 -0.9371 1.3343
S -0.6053 2.6241 3.9730
S 1.1382 0.7503 1.6004
S -0.5777 -0.7503 4.2691
S 1.1106 -2.6241 1.3044
S 2.8455 2.6241 4.0329
S 4.5339 0.7503 1.0682
S 2.8180 -0.7503 3.7368
S 4.5615 -2.6241 1.3642
```

Formation energy from raw total energies ... -1.150 eV/atom
Energy above the lowest structure with this stoichiometry ... 0 meV/atom


# 5
The following is a DFT calculation (PBE) of crystalline AgBi2Pd2 at its relaxed geometry.

Structure (extended XYZ):
```
10
Lattice="7.5324 0.0000 0.0000 0.0000 7.5324 0.0000 0.0000 0.0000 3.8212" Properties=species:S:1:pos:R:3 pbc="T T T"
Ag 0.0000 0.0000 0.0000
Ag 3.7662 3.7662 0.0000
Bi 1.2440 2.5222 1.9106
Bi 2.5222 6.2884 1.9106
Bi 5.0101 1.2440 1.9106
Bi 6.2884 5.0101 1.9106
Pd 1.0202 4.7864 0.0000
Pd 2.7460 1.0202 0.0000
Pd 4.7864 6.5122 0.0000
Pd 6.5122 2.7460 0.0000
```

Fermi-level density of states ... 3.5 states/eV per cell
DFT formation energy ... -179 meV/atom
Energy above the lowest structure with this stoichiometry ... 0 meV/atom


# 6
The following is a DFT calculation (PBE) of crystalline NaScTiCl6 at its relaxed geometry.

Structure (extended XYZ):
```
18
Lattice="6.3771 0.0000 0.0000 -3.1885 5.5227 0.0000 0.0000 0.0000 12.8430" Properties=species:S:1:pos:R:3 pbc="T T T"
Na 0.0000 0.0000 0.0000
Na 0.0000 0.0000 6.4215
Sc 0.0000 3.6818 3.2108
Sc 3.1885 1.8409 9.6323
Ti 0.0000 3.6818 9.6323
Ti 3.1885 1.8409 3.2108
Cl -1.1198 1.9648 8.1846
Cl -2.0469 3.5706 11.0799
Cl 1.1198 1.9648 11.0799
Cl -0.9271 5.5101 8.1846
Cl 2.2615 0.0126 1.7631
Cl 1.1417 1.9522 4.6584
Cl 2.0469 3.5706 8.1846
Cl 0.9271 5.5101 11.0799
Cl 4.1156 0.0126 4.6584
Cl 2.0688 3.5579 1.7631
Cl 5.2354 1.9522 1.7631
Cl 4.3083 3.5579 4.6584
```

Formation energy from raw total energies ... -1.799 eV/atom
Fermi-level density of states ... 19.3 states/eV per cell


# 7
The following is a DFT calculation (PBE) of crystalline Er2MgBe2Rh5 at its relaxed geometry.

Structure (extended XYZ):
```
20
Lattice="9.6755 0.0000 0.0000 0.0000 9.6755 0.0000 0.0000 0.0000 3.2284" Properties=species:S:1:pos:R:3 pbc="T T T"
Er 1.7056 3.1322 0.0000
Er 3.1322 7.9699 0.0000
Er 6.5433 1.7056 0.0000
Er 7.9699 6.5433 0.0000
Mg 0.0000 0.0000 0.0000
Mg 4.8377 4.8377 0.0000
Be 1.1773 6.0151 0.0000
Be 3.6604 1.1773 0.0000
Be 6.0151 8.4981 0.0000
Be 8.4981 3.6604 0.0000
Rh 0.0000 4.8377 1.6142
Rh 0.6720 7.5928 1.6142
Rh 2.0827 0.6720 1.6142
Rh 2.7550 5.5097 1.6142
Rh 4.1657 2.7550 1.6142
Rh 4.8377 0.0000 1.6142
Rh 5.5097 6.9204 1.6142
Rh 6.9204 4.1657 1.6142
Rh 7.5928 9.0035 1.6142
Rh 9.0035 2.0827 1.6142
```

Fermi-level density of states ... 8.7 states/eV per cell
DFT formation energy ... -775 meV/atom


# 8
The following is a DFT calculation (PBE) of crystalline Rb2NbGeF6 at its relaxed geometry.

Structure (extended XYZ):
```
10
Lattice="-3.0866 3.0866 5.3407 3.0866 -3.0866 5.3407 3.0866 3.0866 -5.3407" Properties=species:S:1:pos:R:3 pbc="T T T"
Rb 3.0866 0.0000 2.6704
Rb 0.0000 3.0866 2.6704
Nb 0.0000 0.0000 0.0000
Ge 0.0000 0.0000 5.3407
F 0.0000 0.0000 2.0799
F 1.5102 1.5102 0.0000
F 1.5764 -1.5764 5.3407
F -1.5764 1.5764 5.3407
F 1.5764 1.5764 5.3407
F 0.0000 0.0000 8.6016
```

Formation energy from raw total energies ... -2.305 eV/atom
Fermi-level density of states ... 6.6 states/eV per cell


# 9
The following is a DFT calculation (PBE) of crystalline Rb3Ho3MnSe8 at its relaxed geometry.

Structure (extended XYZ):
```
15
Lattice="4.0869 2.3596 8.1635 -4.0869 2.3596 8.1635 0.0000 -4.7191 8.1635" Properties=species:S:1:pos:R:3 pbc="T T T"
Rb -2.0434 -1.1798 8.1635
Rb -2.0434 1.1798 16.3269
Rb 0.0000 2.3596 8.1634
Ho -4.0869 0.0000 12.2452
Ho -2.0434 1.1798 4.0817
Ho 2.0434 1.1798 4.0817
Mn 0.0000 0.0000 12.2452
Se 0.0000 0.0000 5.6799
Se -1.8572 -1.0723 13.7135
Se 0.0000 -2.1446 10.7769
Se -1.8572 1.0723 10.7769
Se 1.8572 -1.0723 13.7135
Se 0.0000 2.1446 13.7135
Se 1.8572 1.0723 10.7769
Se 0.0000 0.0000 18.8105
```

Formation energy from raw total energies ... -1.420 eV/atom
Fermi-level density of states ... 0.4 states/eV per cell


# 10
The following is a DFT calculation (PBE) of crystalline PrNd2Rh at its relaxed geometry.

Structure (extended XYZ):
```
12
Lattice="3.9699 0.0000 0.0000 -1.9849 3.4380 0.0000 0.0000 0.0000 28.4108" Properties=species:S:1:pos:R:3 pbc="T T T"
Pr 0.0000 0.0000 0.0000
Pr 0.0000 2.2920 18.9405
Pr 1.9849 1.1460 9.4702
Nd 0.0000 0.0000 6.4247
Nd 0.0000 0.0000 12.5682
Nd 0.0000 2.2920 3.0979
Nd 0.0000 2.2920 25.3652
Nd 1.9849 1.1460 15.8950
Nd 1.9849 1.1460 22.0385
Rh 0.0000 0.0000 23.7082
Rh 0.0000 2.2920 14.2379
Rh 1.9849 1.1460 4.7676
```

Fermi-level density of states ... 16.0 states/eV per cell
DFT formation energy ... -286 meV/atom
Energy above the lowest structure with this stoichiometry ... 131 meV/atom


# 11
The following is a DFT calculation (PBE) of crystalline YTiF5 at its relaxed geometry.

Structure (extended XYZ):
```
14
Lattice="4.1934 0.0000 0.0000 0.0000 6.9255 0.0000 0.0000 0.0000 8.4210" Properties=species:S:1:pos:R:3 pbc="T T T"
Y 0.0000 0.0000 0.0000
Y 2.0967 3.4627 4.2105
Ti 0.0000 0.0000 4.2105
Ti 2.0967 3.4627 0.0000
F 0.0000 0.0000 2.1980
F 0.0000 0.0000 6.2230
F 0.0000 2.2190 0.0000
F 0.0000 3.4627 4.2105
F 0.0000 4.7065 0.0000
F 2.0967 0.0000 0.0000
F 2.0967 1.2437 4.2105
F 2.0967 3.4627 2.0125
F 2.0967 3.4627 6.4084
F 2.0967 5.6818 4.2105
```

Formation energy from raw total energies ... -3.365 eV/atom
Fermi-level density of states ... 11.9 states/eV per cell


# 12
The following is a DFT calculation (PBE) of crystalline BaCeTl2I8 at its relaxed geometry.

Structure (extended XYZ):
```
12
Lattice="7.7067 0.0000 0.0000 0.0000 9.9959 0.0000 -0.1692 0.0000 8.1424" Properties=species:S:1:pos:R:3 pbc="T T T"
Ba 0.0000 0.0000 0.0000
Ce 0.0000 4.9980 0.0000
Tl 3.7688 2.4845 4.0712
Tl 3.7688 7.5115 4.0712
I 1.5376 4.9980 2.5671
I 1.6779 2.8078 7.0409
I 1.6779 7.1881 7.0409
I 1.9365 0.0000 2.8015
I 5.6011 0.0000 5.3409
I 5.8597 2.8078 1.1015
I 5.8597 7.1881 1.1015
I 5.9999 4.9980 5.5753
```

Formation energy from raw total energies ... -1.115 eV/atom
Fermi-level density of states ... 2.4 states/eV per cell


So what do the calculations give for ρ? Going down the list: 15.0; 2.9; 4.2; 4.9; 11.3; 2.4; 9.8; 3.7; 5.1; 6.8; 3.1; 4.5 g/cm3.
So what do the calculations give for spin magnetization? Going down the list: 0.6; 0.0; 5.1; 3.0; 0.0; 2.0; 0.0; 3.0; 3.0; 0.0; 2.0; 0.1 μB per formula unit.
So what do the calculations give for calculated total energy? Going down the list: -6.35; -7.82; -2.71; -7.09; -4.38; -4.76; -6.27; -5.09; -5.00; -5.70; -6.75; -3.20 eV/atom.